(1)
Computed, not measured: a relaxed structure of FeRu2Au at the GGA-PBE level of DFT.

Results
Its symmetry is No. 122. As for the calculated total energy: -55.186 eV/cell. The value obtained for the total moment is 0.0 Bohr magnetons per cell. The calculation puts the distance to the lowest polymorph of the same formula at 0.474 eV/atom.

```
FeRu2Au
1.0
-1.118 5.573 3.985
-2.542 -4.087 5.002
0.515 0.502 5.488
Fe Au Ru
2 2 4
Direct
0.500 0.500 0.000 Fe
0.250 0.750 0.500 Fe
0.000 0.000 0.000 Au
0.750 0.250 0.500 Au
0.567 0.125 0.250 Ru
0.183 0.625 0.250 Ru
0.875 0.817 0.750 Ru
0.375 0.433 0.750 Ru
```

(2)
Computed, not measured: a relaxed structure of Th3ScC2 at the GGA-PBE level of DFT.

Results
Its symmetry is No. 12. As for the calculated total energy: -96.918 eV/cell. The value obtained for the total moment is 0.0 Bohr magnetons per cell.

```
Th3ScC2
1.0
3.522 0.000 0.731
1.690 7.898 0.704
-0.207 -0.729 9.839
C Sc Th
4 2 6
Direct
0.877 0.377 0.869 C
0.123 0.623 0.131 C
0.377 0.867 0.378 C
0.623 0.133 0.622 C
0.437 0.409 0.716 Sc
0.563 0.591 0.284 Sc
0.181 0.189 0.449 Th
0.686 0.681 0.947 Th
0.819 0.811 0.551 Th
0.066 0.068 0.801 Th
0.934 0.932 0.199 Th
0.314 0.319 0.053 Th
```

(3)
Computed, not measured: a relaxed structure of Sm6Au2Se3S at the GGA-PBE level of DFT.

Results
Its symmetry is No. 12. As for the calculated total energy: -67.316 eV/cell. The value obtained for the total moment is 0.0 Bohr magnetons per cell. Its energy relative to the elements, uncorrected is -1.4888 eV per atom.

```
Sm6Au2Se3S
1.0
4.108 0.000 0.000
0.000 8.538 0.097
-2.054 -2.672 8.865
Au Sm Se S
2 6 3 1
Direct
0.827 0.648 0.655 Au
0.173 0.352 0.345 Au
0.336 0.908 0.673 Sm
0.664 0.092 0.327 Sm
0.662 0.596 0.323 Sm
0.002 0.239 0.004 Sm
0.338 0.404 0.677 Sm
0.998 0.761 0.996 Sm
0.164 0.845 0.329 Se
0.500 0.500 0.000 Se
0.836 0.155 0.671 Se
0.500 0.000 0.000 S
```

(4)
Computed, not measured: a relaxed structure of LaScNiIr at the GGA-PBE level of DFT.

Results
Its symmetry is No. 216. As for the calculated total energy: -27.881 eV/cell. The value obtained for the total moment is 0.0 Bohr magnetons per cell.

```
LaScNiIr
1.0
4.818 0.000 0.000
2.409 4.172 0.000
2.409 1.391 3.934
Sc Ir La Ni
1 1 1 1
Direct
0.500 0.500 0.500 Sc
0.750 0.750 0.750 Ir
0.000 0.000 0.000 La
0.250 0.250 0.250 Ni
```

Q: Look up the total moment of the fourth one.
A: 0.0 Bohr magnetons per cell